A relaxed Sr3Mn5F12 crystal. Source: Alexandria via LeMat-Bulk, functional PBE with a Hubbard U.

a = 12.066 Å, b = 12.066 Å, c = 12.066 Å
α = 109.47°, β = 109.47°, γ = 109.47°
Sites, in units of the cell vectors:
Sr  0.750  0.375  0.125
Sr  0.875  0.750  0.125
Sr  0.375  0.750  0.625
Sr  0.250  0.125  0.375
Sr  0.875  0.125  0.250
Sr  0.375  0.625  0.250
Sr  0.625  0.375  0.750
Sr  0.125  0.875  0.750
Sr  0.750  0.875  0.625
Sr  0.625  0.250  0.375
Sr  0.125  0.250  0.875
Sr  0.250  0.625  0.875
Mn  0.125  0.375  0.250
Mn  0.000  0.500  0.000
Mn  0.000  0.000  0.000
Mn  0.375  0.250  0.125
Mn  0.500  0.000  0.500
Mn  0.500  0.500  0.000
Mn  0.125  0.750  0.375
Mn  0.750  0.125  0.875
Mn  0.750  0.625  0.375
Mn  0.375  0.125  0.750
Mn  0.625  0.875  0.250
Mn  0.500  0.500  0.500
Mn  0.500  0.000  0.000
Mn  0.000  0.000  0.500
Mn  0.250  0.375  0.625
Mn  0.250  0.875  0.125
Mn  0.000  0.500  0.500
Mn  0.875  0.250  0.625
Mn  0.625  0.750  0.875
Mn  0.875  0.625  0.750
F  0.707  0.135  0.044
F  0.337  0.544  0.409
F  0.956  0.365  0.293
F  0.544  0.207  0.135
F  0.572  0.707  0.663
F  0.956  0.591  0.163
F  0.337  0.793  0.428
F  0.091  0.928  0.135
F  0.591  0.956  0.663
F  0.707  0.572  0.163
F  0.793  0.456  0.365
F  0.837  0.909  0.044
F  0.135  0.707  0.544
F  0.365  0.409  0.072
F  0.072  0.909  0.365
F  0.428  0.135  0.591
F  0.072  0.163  0.207
F  0.456  0.663  0.091
F  0.837  0.928  0.293
F  0.135  0.428  0.091
F  0.365  0.956  0.793
F  0.591  0.635  0.428
F  0.909  0.837  0.544
F  0.793  0.337  0.928
F  0.409  0.365  0.572
F  0.091  0.163  0.456
F  0.207  0.663  0.072
F  0.163  0.072  0.707
F  0.635  0.044  0.207
F  0.865  0.572  0.909
F  0.544  0.337  0.909
F  0.572  0.865  0.409
F  0.928  0.837  0.793
F  0.928  0.091  0.635
F  0.865  0.293  0.456
F  0.163  0.091  0.956
F  0.635  0.591  0.928
F  0.409  0.044  0.337
F  0.293  0.428  0.837
F  0.207  0.544  0.635
F  0.909  0.072  0.865
F  0.663  0.207  0.572
F  0.456  0.793  0.865
F  0.044  0.409  0.837
F  0.428  0.293  0.337
F  0.044  0.635  0.707
F  0.663  0.456  0.591
F  0.293  0.865  0.956

Values from the calculation:
space-group type	Ia-3d (230)
total DFT energy (no corrections)	-5.839	eV/atom
magnetic moment	103.3	μB/cell